(1)
This record from Alexandria via LeMat-Bulk describes a geometry-optimized Sm6Ag6Hg structure. The functional is PBE.

extended XYZ file:
```
13
Lattice="5.970 0.000 0.000 -2.985 5.170 0.000 0.000 0.000 10.857" Properties=species:S:1:pos:R:3 pbc="T T T"
Sm 0.000 0.000 1.849
Sm 0.000 0.000 9.008
Sm 0.000 3.447 0.000
Sm 0.000 3.447 5.429
Sm 2.985 1.723 0.000
Sm 2.985 1.723 5.429
Ag -1.492 2.585 2.801
Ag -1.492 2.585 8.056
Ag 2.985 0.000 2.801
Ag 2.985 0.000 8.056
Ag 1.492 2.585 2.801
Ag 1.492 2.585 8.056
Hg 0.000 0.000 5.429
```

Summary:
Formation energy in meV per atom: -152
Uncorrected energy in eV per atom: -3.67



(2)
This record from Alexandria via LeMat-Bulk describes a geometry-optimized Sm2Ag3Hg structure. The functional is PBE.

extended XYZ file:
```
12
Lattice="0.000 4.880 8.500 3.397 0.000 8.500 3.397 4.880 0.000" Properties=species:S:1:pos:R:3 pbc="T T T"
Sm 5.109 4.880 8.500
Sm 1.698 2.440 4.250
Sm 5.095 7.320 12.750
Sm 1.685 4.880 8.500
Ag 3.397 4.880 2.806
Ag 3.397 2.419 7.102
Ag 3.397 2.419 9.898
Ag 3.397 7.341 7.102
Ag 3.397 7.341 9.898
Ag 3.397 4.880 14.194
Hg 3.397 4.880 5.668
Hg 3.397 4.880 11.331
```

Summary:
Formation energy in meV per atom: -311
Uncorrected energy in eV per atom: -3.36



(3)
This record from Alexandria via LeMat-Bulk describes a geometry-optimized SmAgHg2 structure. The functional is PBE.

extended XYZ file:
```
4
Lattice="0.000 3.589 3.589 3.589 0.000 3.589 3.589 3.589 0.000" Properties=species:S:1:pos:R:3 pbc="T T T"
Sm 0.000 0.000 0.000
Ag 3.589 3.589 3.589
Hg 1.795 1.795 1.795
Hg 5.384 5.384 5.384
```

Summary:
Formation energy in meV per atom: -357
Uncorrected energy in eV per atom: -2.40



(4)
This record from Alexandria via LeMat-Bulk describes a geometry-optimized Sm3Ag2Hg2 structure. The functional is PBE.

extended XYZ file:
```
7
Lattice="5.126 0.000 0.000 2.563 4.462 0.000 0.006 2.919 7.849" Properties=species:S:1:pos:R:3 pbc="T T T"
Sm 0.000 0.000 0.000
Sm 2.562 1.472 2.235
Sm 5.133 5.908 5.614
Ag 2.571 4.415 6.949
Ag 5.124 2.966 0.900
Hg 2.564 4.438 3.387
Hg 5.131 2.943 4.462
```

Summary:
Formation energy in meV per atom: -281
Uncorrected energy in eV per atom: -3.20



(5)
This record from Alexandria via LeMat-Bulk describes a geometry-optimized Sm5Ag4Hg structure. The functional is PBE.

extended XYZ file:
```
10
Lattice="3.725 0.000 0.000 0.000 3.725 0.000 0.000 0.000 18.673" Properties=species:S:1:pos:R:3 pbc="T T T"
Sm 0.000 0.000 0.000
Sm 0.000 0.000 3.710
Sm 0.000 0.000 7.408
Sm 0.000 0.000 11.265
Sm 0.000 0.000 14.963
Ag 1.862 1.862 1.846
Ag 1.862 1.862 5.544
Ag 1.862 1.862 13.129
Ag 1.862 1.862 16.827
Hg 1.862 1.862 9.336
```

Summary:
Formation energy in meV per atom: -320
Uncorrected energy in eV per atom: -3.85



(6)
This record from Alexandria via LeMat-Bulk describes a geometry-optimized SmAgHg structure. The functional is PBE.

extended XYZ file:
```
6
Lattice="5.472 -2.464 0.000 5.472 2.464 0.000 -4.217 0.000 5.328" Properties=species:S:1:pos:R:3 pbc="T T T"
Sm -1.054 0.000 1.339
Sm 7.780 0.000 3.989
Ag 2.267 0.000 1.792
Ag 4.459 0.000 3.536
Hg 0.101 0.000 4.421
Hg 6.626 0.000 0.907
```

Summary:
Formation energy in meV per atom: -357
Uncorrected energy in eV per atom: -2.98



(7)
This record from Alexandria via LeMat-Bulk describes a geometry-optimized Sm5AgHg4 structure. The functional is PBE.

extended XYZ file:
```
10
Lattice="3.784 0.000 0.000 0.000 3.784 0.000 0.000 0.000 18.792" Properties=species:S:1:pos:R:3 pbc="T T T"
Sm 0.000 0.000 0.000
Sm 0.000 0.000 3.793
Sm 0.000 0.000 7.572
Sm 0.000 0.000 11.220
Sm 0.000 0.000 14.999
Ag 1.892 1.892 9.396
Hg 1.892 1.892 1.909
Hg 1.892 1.892 5.687
Hg 1.892 1.892 13.106
Hg 1.892 1.892 16.884
```

Summary:
Formation energy in meV per atom: -432
Uncorrected energy in eV per atom: -3.20



(8)
This record from Alexandria via LeMat-Bulk describes a geometry-optimized Sm2AgHg structure. The functional is PBE.

extended XYZ file:
```
4
Lattice="5.299 0.000 0.000 0.000 5.299 0.000 0.000 0.000 3.766" Properties=species:S:1:pos:R:3 pbc="T T T"
Sm 0.000 2.649 0.000
Sm 2.649 0.000 0.000
Ag 0.000 0.000 1.883
Hg 2.649 2.649 1.883
```

Summary:
Formation energy in meV per atom: -376
Uncorrected energy in eV per atom: -3.52



(9)
This record from Alexandria via LeMat-Bulk describes a geometry-optimized SmAgHg2 structure. The functional is PBE.

extended XYZ file:
```
4
Lattice="3.589 0.000 0.000 0.000 3.589 0.000 0.000 0.000 7.287" Properties=species:S:1:pos:R:3 pbc="T T T"
Sm 0.000 0.000 0.000
Ag 0.000 0.000 3.643
Hg 1.794 1.794 2.006
Hg 1.794 1.794 5.281
```

Summary:
Formation energy in meV per atom: -240
Uncorrected energy in eV per atom: -2.28



(10)
This record from Alexandria via LeMat-Bulk describes a geometry-optimized Sm4AgHg3 structure. The functional is PBE.

extended XYZ file:
```
8
Lattice="7.989 -2.668 0.000 7.989 2.668 0.000 -1.777 0.000 5.031" Properties=species:S:1:pos:R:3 pbc="T T T"
Sm 1.757 0.000 0.623
Sm 5.345 0.000 1.893
Sm 8.857 0.000 3.138
Sm 12.446 0.000 4.407
Ag -0.888 0.000 2.515
Hg 2.669 0.000 3.775
Hg 7.989 0.000 0.000
Hg 11.533 0.000 1.255
```

Summary:
Formation energy in meV per atom: -424
Uncorrected energy in eV per atom: -3.25



(11)
This record from Alexandria via LeMat-Bulk describes a geometry-optimized Sm7Ag2Hg2 structure. The functional is PBE.

extended XYZ file:
```
11
Lattice="3.934 -5.597 0.000 3.934 5.597 0.000 0.000 0.000 7.779" Properties=species:S:1:pos:R:3 pbc="T T T"
Sm 0.000 0.000 0.000
Sm 1.967 2.799 2.178
Sm 1.967 2.799 5.601
Sm 1.967 -2.799 2.178
Sm 1.967 -2.799 5.601
Sm 3.934 0.000 2.015
Sm 3.934 0.000 5.764
Ag 3.934 2.349 0.000
Ag 3.934 -2.349 0.000
Hg 1.419 0.000 3.890
Hg 6.449 0.000 3.890
```

Summary:
Formation energy in meV per atom: -16
Uncorrected energy in eV per atom: -3.59



(12)
This record from Alexandria via LeMat-Bulk describes a geometry-optimized Sm4Ag3Hg structure. The functional is PBE.

extended XYZ file:
```
8
Lattice="3.781 0.000 0.000 0.000 4.905 0.000 0.000 0.000 11.498" Properties=species:S:1:pos:R:3 pbc="T T T"
Sm 0.000 0.000 0.000
Sm 0.000 2.452 3.244
Sm 1.891 0.000 5.635
Sm 1.891 2.452 9.064
Ag 0.000 2.452 6.422
Ag 1.891 0.000 2.497
Ag 1.891 2.452 0.738
Hg 0.000 0.000 8.287
```

Summary:
Formation energy in meV per atom: -297
Uncorrected energy in eV per atom: -3.76



(13)
This record from Alexandria via LeMat-Bulk describes a geometry-optimized Sm3AgHg4 structure. The functional is PBE.

extended XYZ file:
```
8
Lattice="-1.822 3.395 8.953 1.822 -3.395 8.953 1.822 3.395 -8.953" Properties=species:S:1:pos:R:3 pbc="T T T"
Sm 0.000 0.000 0.000
Sm 1.822 0.000 4.921
Sm 0.000 3.395 4.032
Ag 0.000 0.000 8.953
Hg 1.822 1.560 -2.197
Hg 1.822 1.560 2.197
Hg 0.000 1.834 6.756
Hg 0.000 1.834 11.150
```

Summary:
Formation energy in meV per atom: -268
Uncorrected energy in eV per atom: -2.55



(14)
This record from Alexandria via LeMat-Bulk describes a geometry-optimized Sm2AgHg6 structure. The functional is PBE.

extended XYZ file:
```
18
Lattice="9.355 0.000 0.000 0.000 9.355 0.000 0.000 0.000 4.960" Properties=species:S:1:pos:R:3 pbc="T T T"
Sm 1.869 1.869 0.000
Sm 2.808 6.547 2.480
Sm 6.547 2.808 2.480
Sm 7.485 7.485 0.000
Ag 0.000 0.000 2.480
Ag 4.677 4.677 0.000
Hg 0.336 3.157 2.480
Hg 1.260 8.095 0.000
Hg 1.520 5.014 0.000
Hg 3.157 0.336 2.480
Hg 3.417 3.417 2.480
Hg 4.341 7.834 0.000
Hg 5.014 1.520 0.000
Hg 5.937 5.937 2.480
Hg 6.198 9.018 2.480
Hg 7.834 4.341 0.000
Hg 8.095 1.260 0.000
Hg 9.018 6.198 2.480
```

Summary:
Formation energy in meV per atom: -291
Uncorrected energy in eV per atom: -1.86



(15)
This record from Alexandria via LeMat-Bulk describes a geometry-optimized SmAg3Hg3 structure. The functional is PBE.

extended XYZ file:
```
14
Lattice="3.786 2.186 6.531 -3.786 2.186 6.531 0.000 -4.371 6.531" Properties=species:S:1:pos:R:3 pbc="T T T"
Sm 0.000 0.000 3.162
Sm 0.000 0.000 16.431
Ag -2.150 0.479 5.655
Ag 0.660 -2.102 5.655
Ag -1.490 -1.622 13.938
Ag 1.490 1.622 5.655
Ag -0.660 2.102 13.938
Ag 2.150 -0.479 13.938
Hg -1.805 -0.004 8.521
Hg -0.899 -1.566 11.072
Hg 0.906 -1.561 8.521
Hg -0.906 1.561 11.072
Hg 0.899 1.566 8.521
Hg 1.805 0.004 11.072
```

Summary:
Formation energy in meV per atom: -80
Uncorrected energy in eV per atom: -2.11



(16)
This record from Alexandria via LeMat-Bulk describes a geometry-optimized Sm6Ag3Hg structure. The functional is PBE.

extended XYZ file:
```
20
Lattice="9.377 0.000 0.000 0.000 5.087 0.000 -3.301 0.000 11.773" Properties=species:S:1:pos:R:3 pbc="T T T"
Sm -0.176 1.272 1.299
Sm -0.965 1.272 8.460
Sm 0.220 3.816 6.094
Sm 2.937 3.816 1.349
Sm 2.352 1.272 4.233
Sm 0.785 3.816 9.961
Sm 5.291 1.272 1.812
Sm 3.724 3.816 7.541
Sm 3.139 1.272 10.424
Sm 5.856 1.272 5.679
Sm 7.041 3.816 3.314
Sm 6.252 3.816 10.475
Ag -0.765 1.272 4.285
Ag 0.639 3.816 3.136
Ag -0.638 1.272 11.465
Ag 6.714 3.816 0.308
Ag 5.437 1.272 8.638
Ag 6.841 3.816 7.489
Hg 1.927 1.272 7.491
Hg 4.149 3.816 4.282
```

Summary:
Formation energy in meV per atom: -217
Uncorrected energy in eV per atom: -3.93



(17)
This record from Alexandria via LeMat-Bulk describes a geometry-optimized Sm3Ag9Hg2 structure. The functional is PBE.

extended XYZ file:
```
14
Lattice="-2.346 4.930 6.760 2.346 -4.930 6.760 2.346 4.930 -6.760" Properties=species:S:1:pos:R:3 pbc="T T T"
Sm 0.000 0.000 0.000
Sm 0.000 0.000 4.008
Sm 0.000 0.000 9.512
Ag 2.346 -1.341 2.236
Ag 2.346 -2.149 4.935
Ag 2.346 1.341 2.236
Ag 0.000 2.781 1.825
Ag 0.000 4.930 0.000
Ag 2.346 2.149 4.935
Ag 0.000 3.589 4.524
Ag 0.000 7.079 1.825
Ag 0.000 6.270 4.524
Hg 2.346 3.092 0.000
Hg 0.000 1.838 6.760
```

Summary:
Formation energy in meV per atom: -169
Uncorrected energy in eV per atom: -3.06



(18)
This record from Alexandria via LeMat-Bulk describes a geometry-optimized SmAg2Hg3 structure. The functional is PBE.

extended XYZ file:
```
12
Lattice="4.953 0.000 0.000 -2.476 4.289 0.000 0.000 0.000 13.024" Properties=species:S:1:pos:R:3 pbc="T T T"
Sm 0.000 0.000 3.256
Sm 0.000 0.000 9.768
Ag 0.000 2.860 1.764
Ag 0.000 2.860 4.748
Ag 2.476 1.430 8.276
Ag 2.476 1.430 11.260
Hg 0.000 0.000 0.000
Hg 0.000 0.000 6.512
Hg 0.000 2.860 8.006
Hg 0.000 2.860 11.529
Hg 2.476 1.430 1.495
Hg 2.476 1.430 5.017
```

Summary:
Formation energy in meV per atom: -201
Uncorrected energy in eV per atom: -2.09



(19)
This record from Alexandria via LeMat-Bulk describes a geometry-optimized Sm4Ag2Hg structure. The functional is PBE.

extended XYZ file:
```
7
Lattice="2.526 1.458 9.591 -2.526 1.458 9.591 0.000 -2.917 9.591" Properties=species:S:1:pos:R:3 pbc="T T T"
Sm 0.000 0.000 3.499
Sm 0.000 0.000 8.486
Sm 0.000 0.000 20.286
Sm 0.000 0.000 25.273
Ag 0.000 0.000 11.518
Ag 0.000 0.000 17.254
Hg 0.000 0.000 14.386
```

Summary:
Formation energy in meV per atom: -69
Uncorrected energy in eV per atom: -3.62



(20)
This record from Alexandria via LeMat-Bulk describes a geometry-optimized Sm4Ag5Hg structure. The functional is PBE.

extended XYZ file:
```
10
Lattice="3.699 0.000 0.000 0.000 3.699 0.000 0.000 0.000 17.976" Properties=species:S:1:pos:R:3 pbc="T T T"
Sm 0.000 0.000 1.875
Sm 0.000 0.000 5.631
Sm 0.000 0.000 12.344
Sm 0.000 0.000 16.101
Ag 1.849 1.849 0.000
Ag 1.849 1.849 3.737
Ag 1.849 1.849 7.408
Ag 1.849 1.849 10.568
Ag 1.849 1.849 14.238
Hg 0.000 0.000 8.988
```

Summary:
Formation energy in meV per atom: -227
Uncorrected energy in eV per atom: -3.57



(21)
This record from Alexandria via LeMat-Bulk describes a geometry-optimized Sm4AgHg structure. The functional is PBE.

extended XYZ file:
```
12
Lattice="6.251 0.000 0.000 0.000 9.328 0.000 -1.701 0.000 6.015" Properties=species:S:1:pos:R:3 pbc="T T T"
Sm 0.433 1.515 0.615
Sm -0.417 3.149 3.622
Sm 0.951 6.153 5.440
Sm 1.802 7.840 2.432
Sm 2.748 1.489 3.583
Sm 3.598 3.176 0.576
Sm 4.967 6.179 2.393
Sm 4.116 7.814 5.400
Ag -0.851 0.000 3.008
Ag 0.000 4.664 0.000
Hg 3.125 0.000 0.000
Hg 2.275 4.664 3.008
```

Summary:
Formation energy in meV per atom: -91
Uncorrected energy in eV per atom: -3.76



(22)
This record from Alexandria via LeMat-Bulk describes a geometry-optimized Sm3Ag2Hg3 structure. The functional is PBE.

extended XYZ file:
```
8
Lattice="7.743 0.000 0.000 -3.872 6.706 0.000 0.000 0.000 3.951" Properties=species:S:1:pos:R:3 pbc="T T T"
Sm -1.533 2.655 0.000
Sm 3.066 0.000 0.000
Sm 2.339 4.051 0.000
Ag 0.000 4.471 1.976
Ag 3.872 2.235 1.976
Hg -2.944 5.099 1.976
Hg 0.928 1.607 1.976
Hg 5.888 0.000 1.976
```

Summary:
Formation energy in meV per atom: -344
Uncorrected energy in eV per atom: -2.94